Version w
The following is a DFT calculation (PBE-GGA) of a geometry-optimized Rb2TlI3 structure. Values from VASP.

Geometry as Quantum ESPRESSO input:
```
&SYSTEM
  ibrav = 0, nat = 12, ntyp = 3
/
ATOMIC_SPECIES
Rb 85.47 Rb.upf
Tl 204.38 Tl.upf
I 126.90 I.upf
ATOMIC_POSITIONS angstrom
Rb 7.045 3.956 0.768
Rb 2.348 1.358 6.705
Rb 2.348 5.887 3.484
Rb 7.045 -0.573 3.989
Tl 7.045 4.870 6.849
Tl 2.348 0.444 0.624
I 2.348 2.299 3.234
I 7.045 3.015 4.240
I 4.697 -1.505 6.696
I 0.000 -1.505 6.696
I 4.697 6.819 0.777
I 0.000 6.819 0.777
CELL_PARAMETERS angstrom
9.394 0.000 0.000
0.000 8.942 -0.733
0.000 -3.628 8.206
```

Results
The calculated volume comes out at 664 Å³ per cell. As for the symmetry: Cmcm.

***

Version x
The following is a DFT calculation (PBE-GGA) of a geometry-optimized Rb2TlI3 structure. Values from VASP.

Geometry as Quantum ESPRESSO input:
```
&SYSTEM
  ibrav = 0, nat = 12, ntyp = 3
/
ATOMIC_SPECIES
Rb 85.47 Rb.upf
Tl 204.38 Tl.upf
I 126.90 I.upf
ATOMIC_POSITIONS angstrom
Rb 6.601 1.205 3.017
Rb -0.233 4.979 -1.486
Rb -2.509 6.211 3.017
Rb 2.027 3.718 3.017
Tl -4.803 7.452 7.520
Tl 4.320 2.477 -1.486
I 0.818 6.892 4.565
I -1.301 3.037 1.468
I 5.287 4.335 4.603
I 1.057 1.807 6.089
I 3.255 0.636 1.431
I 3.120 5.561 -0.055
CELL_PARAMETERS angstrom
8.889 -0.033 -1.486
-4.794 7.485 -1.486
-0.016 -0.029 9.006
```

Results
The calculated volume comes out at 597 Å³ per cell. As for the symmetry: C2/m.

***

Preferred: version x; penalty for the next structure: 60 meV/atom.

***

Version w
The following is a DFT calculation (PBE-GGA) of a geometry-optimized Rb2TlI structure. Values from VASP.

Geometry as Quantum ESPRESSO input:
```
&SYSTEM
  ibrav = 0, nat = 4, ntyp = 3
/
ATOMIC_SPECIES
I 126.90 I.upf
Tl 204.38 Tl.upf
Rb 85.47 Rb.upf
ATOMIC_POSITIONS angstrom
I -3.009 0.297 0.435
Tl -2.928 -3.500 3.592
Rb 0.126 -5.869 4.880
Rb 0.037 -1.724 1.433
CELL_PARAMETERS angstrom
-2.485 2.228 2.744
-3.534 -1.634 -1.874
0.163 -7.593 6.314
```

Results
The calculated volume comes out at 184 Å³ per cell. As for the symmetry: P4/mmm.

***

Version x
The following is a DFT calculation (PBE-GGA) of a geometry-optimized Rb2TlI structure. Values from VASP.

Geometry as Quantum ESPRESSO input:
```
&SYSTEM
  ibrav = 0, nat = 4, ntyp = 3
/
ATOMIC_SPECIES
I 126.90 I.upf
Tl 204.38 Tl.upf
Rb 85.47 Rb.upf
ATOMIC_POSITIONS angstrom
I 4.601 2.656 6.146
Tl 0.000 0.000 0.000
Rb 2.300 1.328 8.604
Rb 6.901 3.984 3.688
CELL_PARAMETERS angstrom
4.601 0.000 0.000
2.300 3.984 0.000
2.300 1.328 12.292
```

Results
The calculated volume comes out at 225 Å³ per cell. As for the symmetry: R-3m.

***

Version y
The following is a DFT calculation (PBE-GGA) of a geometry-optimized Rb2TlI structure. Values from VASP.

Geometry as Quantum ESPRESSO input:
```
&SYSTEM
  ibrav = 0, nat = 8, ntyp = 3
/
ATOMIC_SPECIES
I 126.90 I.upf
Tl 204.38 Tl.upf
Rb 85.47 Rb.upf
ATOMIC_POSITIONS angstrom
I 1.369 -3.596 6.065
I 1.739 -1.859 11.264
Tl 0.000 0.000 0.000
Tl -1.334 -7.724 8.481
Rb -1.051 -5.994 4.980
Rb 1.938 -0.595 7.925
Rb -0.614 -4.435 10.478
Rb 0.536 -8.142 16.107
CELL_PARAMETERS angstrom
-1.704 -9.461 3.281
4.442 2.269 8.849
-2.334 -2.392 7.615
```

Results
The calculated volume comes out at 432 Å³ per cell. As for the symmetry: I-42d.

***

Preferred: version w; penalty for the next structure: 143 meV/atom.

***

Version w
The following is a DFT calculation (PBE-GGA) of a geometry-optimized Rb2TlI2 structure. Values from VASP.

Geometry as Quantum ESPRESSO input:
```
&SYSTEM
  ibrav = 0, nat = 5, ntyp = 3
/
ATOMIC_SPECIES
I 126.90 I.upf
Tl 204.38 Tl.upf
Rb 85.47 Rb.upf
ATOMIC_POSITIONS angstrom
I 6.639 3.319 3.533
I 3.319 6.639 3.533
Tl 0.000 0.000 0.000
Rb 3.319 3.319 2.261
Rb 6.639 6.639 4.806
CELL_PARAMETERS angstrom
6.639 0.000 0.000
0.000 6.639 0.000
3.319 3.319 7.067
```

Results
The calculated volume comes out at 311 Å³ per cell. As for the symmetry: I4/mmm.

***

Version x
The following is a DFT calculation (PBE-GGA) of a geometry-optimized Rb2TlI2 structure. Values from VASP.

Geometry as Quantum ESPRESSO input:
```
&SYSTEM
  ibrav = 0, nat = 10, ntyp = 3
/
ATOMIC_SPECIES
I 126.90 I.upf
Tl 204.38 Tl.upf
Rb 85.47 Rb.upf
ATOMIC_POSITIONS angstrom
I 0.942 -9.002 0.915
I -3.590 -9.297 3.707
I -4.230 -4.027 3.225
I 0.302 -3.732 0.433
Tl 0.000 0.000 0.000
Tl -1.644 -6.514 2.070
Rb 2.786 -6.109 2.077
Rb -0.105 -9.937 4.459
Rb -3.680 -6.267 6.018
Rb -0.789 -2.439 3.636
CELL_PARAMETERS angstrom
-7.452 -4.060 5.180
4.164 -8.968 -1.040
2.394 0.653 3.955
```

Results
The calculated volume comes out at 462 Å³ per cell. As for the symmetry: P4/mbm.

***

Version y
The following is a DFT calculation (PBE-GGA) of a geometry-optimized Rb2TlI2 structure. Values from VASP.

Geometry as Quantum ESPRESSO input:
```
&SYSTEM
  ibrav = 0, nat = 10, ntyp = 3
/
ATOMIC_SPECIES
I 126.90 I.upf
Tl 204.38 Tl.upf
Rb 85.47 Rb.upf
ATOMIC_POSITIONS angstrom
I 6.466 -3.356 -1.113
I 7.040 -8.939 -0.944
I 2.272 -9.340 1.993
I 1.698 -3.757 1.824
Tl 0.000 0.000 0.000
Tl 3.263 -6.517 -1.379
Rb 6.684 -6.171 -3.492
Rb 3.725 -10.526 -1.288
Rb -0.159 -6.863 0.734
Rb 2.801 -2.508 -1.470
CELL_PARAMETERS angstrom
-2.179 -10.010 2.255
8.704 -3.024 -5.013
2.213 0.338 3.639
```

Results
The calculated volume comes out at 470 Å³ per cell. As for the symmetry: P4/mbm.

***

Preferred: version x; penalty for the next structure: 110 meV/atom.

***

Version w
The following is a DFT calculation (PBE-GGA) of a geometry-optimized Rb3TlI4 structure. Values from VASP.

Geometry as Quantum ESPRESSO input:
```
&SYSTEM
  ibrav = 0, nat = 16, ntyp = 3
/
ATOMIC_SPECIES
Rb 85.47 Rb.upf
Tl 204.38 Tl.upf
I 126.90 I.upf
ATOMIC_POSITIONS angstrom
Rb -8.858 0.953 4.547
Rb -4.468 3.432 5.535
Rb -4.999 3.857 0.412
Rb -0.598 6.334 1.409
Rb -4.165 9.986 0.751
Rb -3.616 9.697 5.882
Tl -1.528 0.144 1.162
Tl -7.941 7.146 4.784
I -6.104 0.448 6.903
I -4.351 0.653 -1.111
I -2.181 3.249 2.666
I -7.286 4.040 3.282
I -5.121 6.637 7.054
I -3.352 6.839 -0.948
I -6.460 10.109 3.617
I -1.321 9.574 3.015
CELL_PARAMETERS angstrom
-5.634 1.018 -4.554
-6.765 0.452 8.470
1.686 12.394 0.685
```

Results
The calculated volume comes out at 994 Å³ per cell. As for the symmetry: Pmn2_1.

***

Version x
The following is a DFT calculation (PBE-GGA) of a geometry-optimized Rb3TlI4 structure. Values from VASP.

Geometry as Quantum ESPRESSO input:
```
&SYSTEM
  ibrav = 0, nat = 8, ntyp = 3
/
ATOMIC_SPECIES
I 126.90 I.upf
Tl 204.38 Tl.upf
Rb 85.47 Rb.upf
ATOMIC_POSITIONS angstrom
I 0.577 -7.836 -2.551
I 5.029 -5.388 -3.732
I 1.663 -3.167 -0.296
I 0.517 -3.534 -5.378
Tl 0.000 0.000 0.000
Rb -1.245 -0.179 -5.064
Rb -1.136 -4.575 -2.247
Rb 3.316 -2.127 -3.427
CELL_PARAMETERS angstrom
-5.696 -2.627 -3.884
3.207 2.269 -6.245
4.670 -6.343 4.455
```

Results
The calculated volume comes out at 402 Å³ per cell. As for the symmetry: I4/mmm.

***

Preferred: version x; penalty for the next structure: 38 meV/atom.

***

Version w
The following is a DFT calculation (PBE-GGA) of a geometry-optimized RbTl2I2 structure. Values from VASP.

Geometry as Quantum ESPRESSO input:
```
&SYSTEM
  ibrav = 0, nat = 10, ntyp = 3
/
ATOMIC_SPECIES
I 126.90 I.upf
Tl 204.38 Tl.upf
Rb 85.47 Rb.upf
ATOMIC_POSITIONS angstrom
I 3.828 -7.694 -0.374
I -0.590 -9.991 -1.155
I -2.942 -5.537 -0.955
I 1.477 -3.240 -0.174
Tl 3.362 -5.463 2.364
Tl 1.606 -10.126 1.647
Tl -3.073 -8.308 1.281
Tl -1.318 -3.645 1.998
Rb 0.000 0.000 0.000
Rb 0.443 -6.615 -0.665
CELL_PARAMETERS angstrom
-6.158 -6.974 -1.498
7.045 -6.257 0.168
-0.598 -0.540 4.974
```

Results
The calculated volume comes out at 447 Å³ per cell. As for the symmetry: P4/mbm.

***

Version x
The following is a DFT calculation (PBE-GGA) of a geometry-optimized RbTl2I2 structure. Values from VASP.

Geometry as Quantum ESPRESSO input:
```
&SYSTEM
  ibrav = 0, nat = 5, ntyp = 3
/
ATOMIC_SPECIES
I 126.90 I.upf
Tl 204.38 Tl.upf
Rb 85.47 Rb.upf
ATOMIC_POSITIONS angstrom
I 6.596 3.298 2.707
I 3.298 6.596 2.707
Tl 3.298 3.298 1.645
Tl 6.596 6.596 3.769
Rb 0.000 0.000 0.000
CELL_PARAMETERS angstrom
6.596 0.000 0.000
0.000 6.596 0.000
3.298 3.298 5.414
```

Results
The calculated volume comes out at 236 Å³ per cell. As for the symmetry: I4/mmm.

***

Preferred: version x; penalty for the next structure: 31 meV/atom.

***

Version w
The following is a DFT calculation (PBE-GGA) of a geometry-optimized RbTl6I8 structure. Values from VASP.

Geometry as Quantum ESPRESSO input:
```
&SYSTEM
  ibrav = 0, nat = 15, ntyp = 3
/
ATOMIC_SPECIES
Rb 85.47 Rb.upf
Tl 204.38 Tl.upf
I 126.90 I.upf
ATOMIC_POSITIONS angstrom
Rb 0.000 0.000 0.000
Tl -5.455 -11.454 1.762
Tl -8.022 -9.466 -3.178
Tl -10.013 -7.705 2.102
Tl -7.782 -4.677 -1.376
Tl -5.215 -6.665 3.565
Tl -3.224 -8.426 -1.716
I -8.890 -10.834 0.259
I -4.347 -5.298 0.127
I -10.119 -7.142 -1.494
I -7.387 -9.255 3.928
I -5.157 -11.221 -1.772
I -3.118 -8.989 1.880
I -5.851 -6.877 -3.542
I -8.080 -4.911 2.159
CELL_PARAMETERS angstrom
-7.086 -3.065 5.071
-6.421 -3.862 -5.402
0.270 -9.205 0.718
```

Results
The calculated volume comes out at 667 Å³ per cell. As for the symmetry: R-3.

***

Version x
The following is a DFT calculation (PBE-GGA) of a geometry-optimized RbTl6I8 structure. Values from VASP.

Geometry as Quantum ESPRESSO input:
```
&SYSTEM
  ibrav = 0, nat = 15, ntyp = 3
/
ATOMIC_SPECIES
Rb 85.47 Rb.upf
Tl 204.38 Tl.upf
I 126.90 I.upf
ATOMIC_POSITIONS angstrom
Rb 2.603 0.000 0.000
Tl 3.894 6.997 -2.424
Tl 3.894 9.238 1.130
Tl 3.894 5.039 1.294
Tl 1.311 3.640 8.566
Tl 1.311 1.399 5.011
Tl 1.311 5.598 4.848
I 3.905 10.327 -2.480
I 3.905 7.621 4.042
I 3.905 3.326 -1.562
I 1.300 0.310 8.621
I 1.300 3.016 2.100
I 1.300 7.311 7.703
I 3.907 3.546 6.141
I 1.299 7.091 0.000
CELL_PARAMETERS angstrom
5.205 0.000 0.000
0.000 10.637 -6.141
0.000 0.000 12.283
```

Results
The calculated volume comes out at 680 Å³ per cell. As for the symmetry: P-3.

***

Preferred: version x; penalty for the next structure: 15 meV/atom.

***

Version w
The following is a DFT calculation (PBE-GGA) of a geometry-optimized Rb3TlI6 structure. Values from VASP.

Geometry as Quantum ESPRESSO input:
```
&SYSTEM
  ibrav = 0, nat = 20, ntyp = 3
/
ATOMIC_SPECIES
Rb 85.47 Rb.upf
Tl 204.38 Tl.upf
I 126.90 I.upf
ATOMIC_POSITIONS angstrom
Rb 2.044 1.578 13.492
Rb -3.014 2.992 4.813
Rb 1.675 3.475 3.500
Rb -0.738 -1.341 6.167
Rb 4.874 -0.466 3.683
Rb 4.457 6.394 10.824
Tl 1.860 2.526 8.496
Tl 0.000 0.000 0.000
I 7.984 4.710 10.024
I 4.096 4.449 7.546
I -0.071 4.037 6.738
I 3.790 1.016 10.253
I -0.377 0.604 9.445
I -4.265 0.343 6.967
I 2.463 0.624 6.178
I -0.814 0.623 2.924
I 7.142 0.291 6.466
I -3.423 4.762 10.526
I 4.533 4.430 14.068
I 1.256 4.429 10.814
CELL_PARAMETERS angstrom
-0.407 8.378 2.489
-5.622 -2.393 7.137
9.748 -0.932 7.366
```

Results
The calculated volume comes out at 1005 Å³ per cell. As for the symmetry: P2_1/c.

***

Version x
The following is a DFT calculation (PBE-GGA) of a geometry-optimized Rb3TlI6 structure. Values from VASP.

Geometry as Quantum ESPRESSO input:
```
&SYSTEM
  ibrav = 0, nat = 10, ntyp = 3
/
ATOMIC_SPECIES
I 126.90 I.upf
Tl 204.38 Tl.upf
Rb 85.47 Rb.upf
ATOMIC_POSITIONS angstrom
I -3.353 -6.374 1.391
I -3.784 -12.729 0.179
I -0.358 -2.956 -0.423
I -1.180 -9.758 -1.398
I -3.033 -5.720 -3.448
I 1.496 -6.994 1.627
Tl 0.000 0.000 0.000
Rb -0.769 -6.357 -0.911
Rb -5.685 -8.956 -1.586
Rb -1.452 -10.147 3.157
CELL_PARAMETERS angstrom
-5.002 -5.166 -5.654
3.464 -7.548 3.832
-5.599 -6.389 3.392
```

Results
The calculated volume comes out at 541 Å³ per cell. As for the symmetry: Fm-3m.

***

Preferred: version w; penalty for the next structure: 70 meV/atom.

***

Version w
The following is a DFT calculation (PBE-GGA) of a geometry-optimized Rb2Tl2I structure. Values from VASP.

Geometry as Quantum ESPRESSO input:
```
&SYSTEM
  ibrav = 0, nat = 10, ntyp = 3
/
ATOMIC_SPECIES
I 126.90 I.upf
Tl 204.38 Tl.upf
Rb 85.47 Rb.upf
ATOMIC_POSITIONS angstrom
I 0.000 0.000 0.000
I 4.896 4.896 0.000
Tl 3.814 8.710 0.000
Tl 8.710 5.977 0.000
Tl 5.977 1.081 0.000
Tl 1.081 3.814 0.000
Rb 1.888 6.784 2.466
Rb 6.784 7.903 2.466
Rb 7.903 3.007 2.466
Rb 3.007 1.888 2.466
CELL_PARAMETERS angstrom
9.791 0.000 0.000
0.000 9.791 0.000
0.000 0.000 4.931
```

Results
The calculated volume comes out at 473 Å³ per cell. As for the symmetry: P4/mbm.

***

Version x
The following is a DFT calculation (PBE-GGA) of a geometry-optimized Rb2Tl2I structure. Values from VASP.

Geometry as Quantum ESPRESSO input:
```
&SYSTEM
  ibrav = 0, nat = 10, ntyp = 3
/
ATOMIC_SPECIES
I 126.90 I.upf
Tl 204.38 Tl.upf
Rb 85.47 Rb.upf
ATOMIC_POSITIONS angstrom
I 0.000 0.000 0.000
I 4.914 4.914 0.000
Tl 1.093 6.007 2.782
Tl 6.007 8.735 2.782
Tl 8.735 3.821 2.782
Tl 3.821 1.093 2.782
Rb 3.045 7.959 0.000
Rb 7.959 6.783 0.000
Rb 6.783 1.869 0.000
Rb 1.869 3.045 0.000
CELL_PARAMETERS angstrom
9.828 0.000 0.000
0.000 9.828 0.000
0.000 0.000 5.563
```

Results
The calculated volume comes out at 537 Å³ per cell. As for the symmetry: P4/mbm.

***

Version y
The following is a DFT calculation (PBE-GGA) of a geometry-optimized Rb2Tl2I structure. Values from VASP.

Geometry as Quantum ESPRESSO input:
```
&SYSTEM
  ibrav = 0, nat = 5, ntyp = 3
/
ATOMIC_SPECIES
I 126.90 I.upf
Tl 204.38 Tl.upf
Rb 85.47 Rb.upf
ATOMIC_POSITIONS angstrom
I 0.000 0.000 0.000
Tl 3.425 -3.809 5.432
Tl 4.990 -4.779 2.829
Rb 1.494 -2.933 1.991
Rb 6.922 -5.654 6.270
CELL_PARAMETERS angstrom
-1.931 -2.063 3.512
1.198 -4.003 -1.692
9.148 -2.522 6.441
```

Results
The calculated volume comes out at 224 Å³ per cell. As for the symmetry: I4/mmm.

***

Preferred: version y; penalty for the next structure: 293 meV/atom.